No. 1
The following is a GGA-PBE calculation of crystalline LiTaCd2 at its relaxed geometry, from Alexandria.

Results
E_tot = -3.53 eV/atom
ΔE to the lowest computed polymorph = 0.304 eV/atom
V = 75.7 Å³ per cell

Cell: 4.748 4.748 4.748 Å, 60.00 60.00 60.00°
Fractional coordinates of all 4 atoms:
Li (0.000, 0.000, 0.000)
Ta (0.500, 0.500, 0.500)
Cd (0.250, 0.250, 0.250)
Cd (0.750, 0.750, 0.750)

***

No. 2
The following is a GGA-PBE calculation of crystalline LiTaCd2 at its relaxed geometry, from Alexandria.

Results
E_tot = -3.70 eV/atom
ΔE to the lowest computed polymorph = 0.125 eV/atom
V = 77.2 Å³ per cell

Cell: 2.852 2.852 10.145 Å, 90.00 90.00 110.80°
Fractional coordinates of all 4 atoms:
Li (0.000, 0.000, 0.000)
Ta (0.500, 0.500, 0.244)
Cd (0.000, 0.000, 0.494)
Cd (0.500, 0.500, 0.767)

***

No. 3
The following is a GGA-PBE calculation of crystalline LiTaCd at its relaxed geometry, from Alexandria.

Results
E_tot = -4.25 eV/atom
ΔE to the lowest computed polymorph = 0.555 eV/atom
V = 111.4 Å³ per cell

Cell: 4.761 4.761 5.672 Å, 90.00 90.00 120.00°
Fractional coordinates of all 6 atoms:
Li (0.000, 0.000, 0.000)
Li (0.000, 0.000, 0.500)
Ta (0.333, 0.667, 0.250)
Ta (0.667, 0.333, 0.750)
Cd (0.333, 0.667, 0.750)
Cd (0.667, 0.333, 0.250)

***

No. 4
The following is a GGA-PBE calculation of crystalline LiTaCd2 at its relaxed geometry, from Alexandria.

Results
E_tot = -3.80 eV/atom
ΔE to the lowest computed polymorph = 0.032 eV/atom
V = 76.2 Å³ per cell

Cell: 10.246 10.246 10.246 Å, 16.56 16.56 16.56°
Fractional coordinates of all 4 atoms:
Li (0.000, 0.000, 0.000)
Ta (0.500, 0.500, 0.500)
Cd (0.253, 0.253, 0.253)
Cd (0.747, 0.747, 0.747)

***

No. 5
The following is a GGA-PBE calculation of crystalline LiTaCd2 at its relaxed geometry, from Alexandria.

Results
E_tot = -3.62 eV/atom
ΔE to the lowest computed polymorph = 0.212 eV/atom
V = 77.5 Å³ per cell

Cell: 6.059 6.059 6.059 Å, 153.22 128.85 58.66°
Fractional coordinates of all 4 atoms:
Li (0.000, 0.000, 0.000)
Ta (0.263, 0.763, 0.500)
Cd (0.513, 0.513, 0.000)
Cd (0.764, 0.264, 0.500)

***

No. 6
The following is a GGA-PBE calculation of crystalline LiTaCd at its relaxed geometry, from Alexandria.

Results
E_tot = -3.62 eV/atom
ΔE to the lowest computed polymorph = 1.186 eV/atom
V = 66.4 Å³ per cell

Cell: 4.545 4.545 4.545 Å, 60.00 60.00 60.00°
Fractional coordinates of all 3 atoms:
Li (0.000, 0.000, 0.000)
Ta (0.750, 0.750, 0.750)
Cd (0.500, 0.500, 0.500)

***

Q: Which value of E_tot does entry 5 give?
A: -3.62 eV/atom